Density functional theory data (PBE-GGA) for a relaxed Tb4PmY6 crystal.

For the formation energy, the calculation gives 0.117 eV per atom. The density comes out at 6.1 g/cm³.

It has space group Cmcm (No. 63), with a = 5.731 Å, b = 9.693 Å, c = 25.840 Å, α = 90.00°, β = 90.00° and γ = 90.00°. Symmetry generates all atoms from Tb at (0.000, 0.023, 0.121), Tb at (0.000, 0.340, 0.042), Pm at (0.000, 0.320, 0.750), Y at (0.000, 0.000, 0.000), Y at (0.000, 0.014, 0.250), Y at (0.000, 0.315, 0.603) and Y at (0.000, 0.351, 0.181).